# KAsRu2

A geometry-optimized KAsRu2 structure (GGA-PBE, Alexandria via LeMat-Bulk).

Unit cell a=5.4451 b=5.4451 c=2.6527 alpha=90.00 beta=90.00 gamma=114.72
Closest atoms and distances in Å follow each position.
Element x y z (fractional)
1 K 0.0000 0.0000 0.0000  2 K 2.65, 2 As 2.94
2 As 0.5000 0.5000 0.0000  2 As 2.65, 2 K 2.94
3 Ru 0.0000 0.5000 0.5000  4 Ru 2.65-2.94
4 Ru 0.5000 0.0000 0.5000  4 Ru 2.65-2.94

Calculated values
The value obtained for the size of the total moment is 0.350 μB per atom. For the raw total energy, the calculation gives -19.7 eV per cell. The density of states at the Fermi level is 1.41 states/eV per atom. The value obtained for the energy of formation is 1.1417 eV per atom. Its density is 7349 kg/m3.